Record 1
CuBr2 after structural relaxation, computed with GGA-PBE.

a b c (Å): 6.4495 6.4495 3.6364
angles (deg): 90.00 90.00 90.00
With the nearest neighbours (Å) after each atom.
Space group P4_2/mnm (No. 136)
One atom of each set of equivalent atoms:
Cu1 0.0000 0.0000 0.0000 x2  4 Br 2.45
Br1 0.1809 0.1809 0.5000 x4  2 Cu 2.45

Record 2
CuBr2 after structural relaxation, computed with GGA-PBE.

a b c (Å): 7.3589 3.4923 7.1441
angles (deg): 90.00 120.42 90.00
With the nearest neighbours (Å) after each atom.
Space group C2/m (No. 12)
One atom of each set of equivalent atoms:
Cu1 0.0000 0.0000 0.0000 x2  4 Br 2.42
Br1 0.0104 0.5000 0.2407 x4  2 Cu 2.42

Record 3
CuBr2 after structural relaxation, computed with GGA-PBE.

a b c (Å): 3.7007 3.7007 18.9154
angles (deg): 90.00 90.00 120.00
With the nearest neighbours (Å) after each atom.
Space group R-3m (No. 166, hexagonal axes)
One atom of each set of equivalent atoms:
Cu1 0.0000 0.0000 0.0000 x3  6 Br 2.59
Br1 0.0000 0.0000 0.2563 x6  3 Cu 2.59

| no. | calculated total energy (eV/atom) |
| --- | --- |
| 1 | -2.59 |
| 2 | -2.63 |
| 3 | -2.56 |